1.
# W3Se | Alexandria via LeMat-Bulk | PBE | relaxed
data_W3Se
_chemical_formula_sum 'W6 Se2'
_cell_length_a 5.7229
_cell_length_b 5.7229
_cell_length_c 4.6994
_cell_angle_alpha 90.00
_cell_angle_beta 90.00
_cell_angle_gamma 120.00
_symmetry_space_group_name_H-M 'P 63/m m c'
_symmetry_Int_Tables_number 194
_symmetry_space_group_name_Hall '-P 6c 2c'
loop_
_atom_site_label
_atom_site_type_symbol
_atom_site_fract_x
_atom_site_fract_y
_atom_site_fract_z
_atom_site_occupancy
W1 W 0.1588 0.3177 0.2500 1
Se1 Se 0.3333 0.6667 0.7500 1
# Final energy in eV/cell: -78.48
# ΔE to the lowest computed polymorph in meV per atom: 379
# E_form (uncorrected) in eV/atom: 0.776

2.
# WSe3 | Alexandria via LeMat-Bulk | PBE | relaxed
data_WSe3
_chemical_formula_sum 'W2 Se6'
_cell_length_a 10.1014
_cell_length_b 10.1014
_cell_length_c 3.0484
_cell_angle_alpha 90.00
_cell_angle_beta 90.00
_cell_angle_gamma 120.00
_symmetry_space_group_name_H-M 'P 63/m m c'
_symmetry_Int_Tables_number 194
_symmetry_space_group_name_Hall '-P 6c 2c'
loop_
_atom_site_label
_atom_site_type_symbol
_atom_site_fract_x
_atom_site_fract_y
_atom_site_fract_z
_atom_site_occupancy
W1 W 0.3333 0.6667 0.2500 1
Se1 Se 0.2191 0.4383 0.7500 1
# Final energy in eV/cell: -48.60
# ΔE to the lowest computed polymorph in meV per atom: 27
# E_form (uncorrected) in eV/atom: -0.224

3.
# WSe | Alexandria via LeMat-Bulk | PBE | relaxed
data_WSe
_chemical_formula_sum 'W2 Se2'
_cell_length_a 3.1261
_cell_length_b 3.1264
_cell_length_c 10.0150
_cell_angle_alpha 81.84
_cell_angle_beta 81.42
_cell_angle_gamma 60.01
_symmetry_space_group_name_H-M 'P -1'
_symmetry_Int_Tables_number 2
_symmetry_space_group_name_Hall '-P 1'
loop_
_atom_site_label
_atom_site_type_symbol
_atom_site_fract_x
_atom_site_fract_y
_atom_site_fract_z
_atom_site_occupancy
W1 W 0.1288 0.1345 0.1132 1
Se1 Se 0.2642 0.2503 0.7080 1
# Final energy in eV/cell: -33.55
# ΔE to the lowest computed polymorph in meV per atom: 0
# E_form (uncorrected) in eV/atom: -0.168

4.
# WSe | Alexandria via LeMat-Bulk | PBE | relaxed
data_WSe
_chemical_formula_sum 'W6 Se6'
_cell_length_a 6.9224
_cell_length_b 6.9224
_cell_length_c 6.9224
_cell_angle_alpha 90.00
_cell_angle_beta 90.00
_cell_angle_gamma 90.00
_symmetry_space_group_name_H-M 'P m -3 n'
_symmetry_Int_Tables_number 223
_symmetry_space_group_name_Hall '-P 4n 2 3'
loop_
_atom_site_label
_atom_site_type_symbol
_atom_site_fract_x
_atom_site_fract_y
_atom_site_fract_z
_atom_site_occupancy
W1 W 0.0000 0.2500 0.5000 1
Se1 Se 0.0000 0.5000 0.2500 1
# Final energy in eV/cell: -85.51
# ΔE to the lowest computed polymorph in meV per atom: 1261
# E_form (uncorrected) in eV/atom: 1.093

5.
# WSe | Alexandria via LeMat-Bulk | PBE | relaxed
data_WSe
_chemical_formula_sum 'W2 Se2'
_cell_length_a 3.3310
_cell_length_b 4.2678
_cell_length_c 6.4158
_cell_angle_alpha 90.00
_cell_angle_beta 90.00
_cell_angle_gamma 90.00
_symmetry_space_group_name_H-M 'P m m n'
_symmetry_Int_Tables_number 59
loop_
_symmetry_equiv_pos_as_xyz
'x,y,z'
'-x,-y,-z'
'-x+1/2,-y+1/2,z'
'x+1/2,y+1/2,-z'
'x+1/2,-y,-z'
'-x+1/2,y,z'
'-x,y+1/2,-z'
'x,-y+1/2,z'
loop_
_atom_site_label
_atom_site_type_symbol
_atom_site_fract_x
_atom_site_fract_y
_atom_site_fract_z
_atom_site_occupancy
W1 W 0.2500 0.2500 0.0198 1
Se1 Se 0.2500 0.7500 0.2761 1
# Final energy in eV/cell: -32.98
# ΔE to the lowest computed polymorph in meV per atom: 141
# E_form (uncorrected) in eV/atom: -0.027

6.
# W3Se | Alexandria via LeMat-Bulk | PBE | relaxed
data_W3Se
_chemical_formula_sum 'W12 Se4'
_cell_length_a 5.3542
_cell_length_b 7.9839
_cell_length_c 6.0444
_cell_angle_alpha 90.00
_cell_angle_beta 90.00
_cell_angle_gamma 90.00
_symmetry_space_group_name_H-M 'P n m a'
_symmetry_Int_Tables_number 62
_symmetry_space_group_name_Hall '-P 2ac 2n'
loop_
_atom_site_label
_atom_site_type_symbol
_atom_site_fract_x
_atom_site_fract_y
_atom_site_fract_z
_atom_site_occupancy
W1 W 0.0393 0.2500 0.2142 1
W2 W 0.2486 0.0442 0.5791 1
Se1 Se 0.1418 0.7500 0.3871 1
# Final energy in eV/cell: -162.21
# ΔE to the lowest computed polymorph in meV per atom: 51
# E_form (uncorrected) in eV/atom: 0.448

7.
# W3Se4 | Alexandria via LeMat-Bulk | PBE | relaxed
data_W3Se4
_chemical_formula_sum 'W3 Se4'
_cell_length_a 5.5378
_cell_length_b 5.5378
_cell_length_c 4.8783
_cell_angle_alpha 90.00
_cell_angle_beta 90.00
_cell_angle_gamma 120.00
_symmetry_space_group_name_H-M 'P 6/m m m'
_symmetry_Int_Tables_number 191
_symmetry_space_group_name_Hall '-P 6 2'
loop_
_atom_site_label
_atom_site_type_symbol
_atom_site_fract_x
_atom_site_fract_y
_atom_site_fract_z
_atom_site_occupancy
W1 W 0.0000 0.5000 0.0000 1
Se1 Se 0.0000 0.0000 0.2469 1
Se2 Se 0.3333 0.6667 0.5000 1
# Final energy in eV/cell: -46.66
# ΔE to the lowest computed polymorph in meV per atom: 935
# E_form (uncorrected) in eV/atom: 0.876

8.
# WSe | Alexandria via LeMat-Bulk | PBE | relaxed
data_WSe
_chemical_formula_sum 'W6 Se6'
_cell_length_a 9.3561
_cell_length_b 9.3561
_cell_length_c 3.2015
_cell_angle_alpha 90.00
_cell_angle_beta 90.00
_cell_angle_gamma 120.00
_symmetry_space_group_name_H-M 'P 63/m'
_symmetry_Int_Tables_number 176
_symmetry_space_group_name_Hall '-P 6c'
loop_
_atom_site_label
_atom_site_type_symbol
_atom_site_fract_x
_atom_site_fract_y
_atom_site_fract_z
_atom_site_occupancy
W1 W 0.1388 0.6252 0.2500 1
Se1 Se 0.0379 0.3220 0.2500 1
# Final energy in eV/cell: -97.75
# ΔE to the lowest computed polymorph in meV per atom: 241
# E_form (uncorrected) in eV/atom: 0.073

9.
# WSe3 | Alexandria via LeMat-Bulk | PBE | relaxed
data_WSe3
_chemical_formula_sum 'W1 Se3'
_cell_length_a 3.0166
_cell_length_b 3.0166
_cell_length_c 10.0173
_cell_angle_alpha 90.00
_cell_angle_beta 90.00
_cell_angle_gamma 90.00
_symmetry_space_group_name_H-M 'P 4/m m m'
_symmetry_Int_Tables_number 123
_symmetry_space_group_name_Hall '-P 4 2'
loop_
_atom_site_label
_atom_site_type_symbol
_atom_site_fract_x
_atom_site_fract_y
_atom_site_fract_z
_atom_site_occupancy
W1 W 0.0000 0.0000 0.0000 1
Se1 Se 0.0000 0.0000 0.5000 1
Se2 Se 0.5000 0.5000 0.1590 1
# Final energy in eV/cell: -23.25
# ΔE to the lowest computed polymorph in meV per atom: 291
# E_form (uncorrected) in eV/atom: 0.040

10.
# WSe3 | Alexandria via LeMat-Bulk | PBE | relaxed
data_WSe3
_chemical_formula_sum 'W1 Se3'
_cell_length_a 4.2204
_cell_length_b 4.2204
_cell_length_c 4.2204
_cell_angle_alpha 90.00
_cell_angle_beta 90.00
_cell_angle_gamma 90.00
_symmetry_space_group_name_H-M 'P m -3 m'
_symmetry_Int_Tables_number 221
_symmetry_space_group_name_Hall '-P 4 2 3'
loop_
_atom_site_label
_atom_site_type_symbol
_atom_site_fract_x
_atom_site_fract_y
_atom_site_fract_z
_atom_site_occupancy
W1 W 0.0000 0.0000 0.0000 1
Se1 Se 0.0000 0.5000 0.5000 1
# Final energy in eV/cell: -18.97
# ΔE to the lowest computed polymorph in meV per atom: 1359
# E_form (uncorrected) in eV/atom: 1.109

11.
# WSe | Alexandria via LeMat-Bulk | PBE | relaxed
data_WSe
_chemical_formula_sum 'W16 Se16'
_cell_length_a 7.7857
_cell_length_b 8.3708
_cell_length_c 10.7343
_cell_angle_alpha 90.00
_cell_angle_beta 90.00
_cell_angle_gamma 90.00
_symmetry_space_group_name_H-M 'F d d d'
_symmetry_Int_Tables_number 70
loop_
_symmetry_equiv_pos_as_xyz
'x,y,z'
'-x,-y,-z'
'-x+1/4,-y+1/4,z'
'x+1/4,y+1/4,-z'
'x,-y+1/4,-z+1/4'
'-x,y+1/4,z+1/4'
'-x+1/4,y,-z+1/4'
'x+1/4,-y,z+1/4'
'x,y+1/2,z+1/2'
'-x,-y+1/2,-z+1/2'
'-x+1/4,-y+3/4,z+1/2'
'x+1/4,y+3/4,-z+1/2'
'x,-y+3/4,-z+3/4'
'-x,y+3/4,z+3/4'
'-x+1/4,y+1/2,-z+3/4'
'x+1/4,-y+1/2,z+3/4'
'x+1/2,y,z+1/2'
'-x+1/2,-y,-z+1/2'
'-x+3/4,-y+1/4,z+1/2'
'x+3/4,y+1/4,-z+1/2'
'x+1/2,-y+1/4,-z+3/4'
'-x+1/2,y+1/4,z+3/4'
'-x+3/4,y,-z+3/4'
'x+3/4,-y,z+3/4'
'x+1/2,y+1/2,z'
'-x+1/2,-y+1/2,-z'
'-x+3/4,-y+3/4,z'
'x+3/4,y+3/4,-z'
'x+1/2,-y+3/4,-z+1/4'
'-x+1/2,y+3/4,z+1/4'
'-x+3/4,y+1/2,-z+1/4'
'x+3/4,-y+1/2,z+1/4'
loop_
_atom_site_label
_atom_site_type_symbol
_atom_site_fract_x
_atom_site_fract_y
_atom_site_fract_z
_atom_site_occupancy
W1 W 0.1250 0.1250 0.0078 1
Se1 Se 0.0885 0.3750 0.8750 1
# Final energy in eV/cell: -251.57
# ΔE to the lowest computed polymorph in meV per atom: 525
# E_form (uncorrected) in eV/atom: 0.357

12.
# WSe | Alexandria via LeMat-Bulk | PBE | relaxed
data_WSe
_chemical_formula_sum 'W4 Se4'
_cell_length_a 3.4260
_cell_length_b 14.9417
_cell_length_c 3.4246
_cell_angle_alpha 90.00
_cell_angle_beta 90.00
_cell_angle_gamma 90.00
_symmetry_space_group_name_H-M 'C m c m'
_symmetry_Int_Tables_number 63
_symmetry_space_group_name_Hall '-C 2c 2'
loop_
_atom_site_label
_atom_site_type_symbol
_atom_site_fract_x
_atom_site_fract_y
_atom_site_fract_z
_atom_site_occupancy
W1 W 0.0000 0.2115 0.2500 1
Se1 Se 0.0000 0.3844 0.2500 1
# Final energy in eV/cell: -63.91
# ΔE to the lowest computed polymorph in meV per atom: 398
# E_form (uncorrected) in eV/atom: 0.231

13.
# WSe3 | Alexandria via LeMat-Bulk | PBE | relaxed
data_WSe3
_chemical_formula_sum 'W2 Se6'
_cell_length_a 12.9583
_cell_length_b 3.2768
_cell_length_c 4.5373
_cell_angle_alpha 90.00
_cell_angle_beta 97.82
_cell_angle_gamma 90.00
_symmetry_space_group_name_H-M 'C 1 2/m 1'
_symmetry_Int_Tables_number 12
_symmetry_space_group_name_Hall '-C 2y'
loop_
_atom_site_label
_atom_site_type_symbol
_atom_site_fract_x
_atom_site_fract_y
_atom_site_fract_z
_atom_site_occupancy
W1 W 0.0000 0.0000 0.0000 1
Se1 Se 0.0000 0.5000 0.5000 1
Se2 Se 0.1508 0.5000 0.1642 1
# Final energy in eV/cell: -45.23
# ΔE to the lowest computed polymorph in meV per atom: 448
# E_form (uncorrected) in eV/atom: 0.198

14.
# WSe3 | Alexandria via LeMat-Bulk | PBE | relaxed
data_WSe3
_chemical_formula_sum 'W4 Se12'
_cell_length_a 3.8772
_cell_length_b 3.8772
_cell_length_c 24.7034
_cell_angle_alpha 90.00
_cell_angle_beta 90.00
_cell_angle_gamma 90.00
_symmetry_space_group_name_H-M 'I 4/m m m'
_symmetry_Int_Tables_number 139
_symmetry_space_group_name_Hall '-I 4 2'
loop_
_atom_site_label
_atom_site_type_symbol
_atom_site_fract_x
_atom_site_fract_y
_atom_site_fract_z
_atom_site_occupancy
W1 W 0.0000 0.0000 0.1848 1
Se1 Se 0.0000 0.0000 0.3623 1
Se2 Se 0.0000 0.5000 0.0000 1
Se3 Se 0.0000 0.5000 0.2500 1
# Final energy in eV/cell: -84.79
# ΔE to the lowest computed polymorph in meV per atom: 803
# E_form (uncorrected) in eV/atom: 0.553

15.
# WSe3 | Alexandria via LeMat-Bulk | PBE | relaxed
data_WSe3
_chemical_formula_sum 'W2 Se6'
_cell_length_a 5.2660
_cell_length_b 5.2660
_cell_length_c 5.2660
_cell_angle_alpha 90.00
_cell_angle_beta 90.00
_cell_angle_gamma 90.00
_symmetry_space_group_name_H-M 'P m -3 n'
_symmetry_Int_Tables_number 223
_symmetry_space_group_name_Hall '-P 4n 2 3'
loop_
_atom_site_label
_atom_site_type_symbol
_atom_site_fract_x
_atom_site_fract_y
_atom_site_fract_z
_atom_site_occupancy
W1 W 0.0000 0.0000 0.0000 1
Se1 Se 0.0000 0.2500 0.5000 1
# Final energy in eV/cell: -41.72
# ΔE to the lowest computed polymorph in meV per atom: 887
# E_form (uncorrected) in eV/atom: 0.637

16.
# WSe3 | Alexandria via LeMat-Bulk | PBE | relaxed
data_WSe3
_chemical_formula_sum 'W6 Se18'
_cell_length_a 6.3125
_cell_length_b 6.3125
_cell_length_c 16.2219
_cell_angle_alpha 90.00
_cell_angle_beta 90.00
_cell_angle_gamma 120.00
_symmetry_space_group_name_H-M 'R -3 c'
_symmetry_Int_Tables_number 167
_symmetry_space_group_name_Hall '-R 3 2"c'
loop_
_atom_site_label
_atom_site_type_symbol
_atom_site_fract_x
_atom_site_fract_y
_atom_site_fract_z
_atom_site_occupancy
W1 W 0.0000 0.0000 0.0000 1
Se1 Se 0.9996 0.3333 0.0833 1
# Final energy in eV/cell: -141.07
# ΔE to the lowest computed polymorph in meV per atom: 224
# E_form (uncorrected) in eV/atom: -0.026

17.
# W3Se | Alexandria via LeMat-Bulk | PBE | relaxed
data_W3Se
_chemical_formula_sum 'W9 Se3'
_cell_length_a 8.8480
_cell_length_b 8.8480
_cell_length_c 2.8982
_cell_angle_alpha 90.00
_cell_angle_beta 90.00
_cell_angle_gamma 120.00
_symmetry_space_group_name_H-M 'R -3 m'
_symmetry_Int_Tables_number 166
_symmetry_space_group_name_Hall '-R 3 2"'
loop_
_atom_site_label
_atom_site_type_symbol
_atom_site_fract_x
_atom_site_fract_y
_atom_site_fract_z
_atom_site_occupancy
W1 W 0.0000 0.5000 0.0000 1
Se1 Se 0.0000 0.0000 0.0000 1
# Final energy in eV/cell: -119.08
# ΔE to the lowest computed polymorph in meV per atom: 266
# E_form (uncorrected) in eV/atom: 0.663

18.
# WSe | Alexandria via LeMat-Bulk | PBE | relaxed
data_WSe
_chemical_formula_sum 'W2 Se2'
_cell_length_a 3.1065
_cell_length_b 3.1065
_cell_length_c 8.6505
_cell_angle_alpha 90.00
_cell_angle_beta 90.00
_cell_angle_gamma 120.00
_symmetry_space_group_name_H-M 'P 63 m c'
_symmetry_Int_Tables_number 186
_symmetry_space_group_name_Hall 'P 6c -2c'
loop_
_atom_site_label
_atom_site_type_symbol
_atom_site_fract_x
_atom_site_fract_y
_atom_site_fract_z
_atom_site_occupancy
W1 W 0.3333 0.6667 0.0000 1
Se1 Se 0.3333 0.6667 0.6995 1
# Final energy in eV/cell: -32.13
# ΔE to the lowest computed polymorph in meV per atom: 355
# E_form (uncorrected) in eV/atom: 0.187

19.
# WSe3 | Alexandria via LeMat-Bulk | PBE | relaxed
data_WSe3
_chemical_formula_sum 'W4 Se12'
_cell_length_a 8.3819
_cell_length_b 11.9929
_cell_length_c 4.1142
_cell_angle_alpha 90.00
_cell_angle_beta 90.00
_cell_angle_gamma 90.00
_symmetry_space_group_name_H-M 'C m c m'
_symmetry_Int_Tables_number 63
_symmetry_space_group_name_Hall '-C 2c 2'
loop_
_atom_site_label
_atom_site_type_symbol
_atom_site_fract_x
_atom_site_fract_y
_atom_site_fract_z
_atom_site_occupancy
W1 W 0.0000 0.0744 0.2500 1
Se1 Se 0.0000 0.2725 0.7500 1
Se2 Se 0.1949 0.0933 0.7500 1
# Final energy in eV/cell: -90.48
# ΔE to the lowest computed polymorph in meV per atom: 447
# E_form (uncorrected) in eV/atom: 0.197

20.
# W3Se | Alexandria via LeMat-Bulk | PBE | relaxed
data_W3Se
_chemical_formula_sum 'W3 Se1'
_cell_length_a 4.5943
_cell_length_b 4.5943
_cell_length_c 3.0637
_cell_angle_alpha 90.00
_cell_angle_beta 90.00
_cell_angle_gamma 90.00
_symmetry_space_group_name_H-M 'P 4/m m m'
_symmetry_Int_Tables_number 123
_symmetry_space_group_name_Hall '-P 4 2'
loop_
_atom_site_label
_atom_site_type_symbol
_atom_site_fract_x
_atom_site_fract_y
_atom_site_fract_z
_atom_site_occupancy
W1 W 0.0000 0.0000 0.0000 1
W2 W 0.0000 0.5000 0.5000 1
Se1 Se 0.5000 0.5000 0.0000 1
# Final energy in eV/cell: -40.08
# ΔE to the lowest computed polymorph in meV per atom: 169
# E_form (uncorrected) in eV/atom: 0.566